A plane-wave DFT calculation with PBE+U was carried out for crystalline Ta2CoO2 at its relaxed geometry.

Properties
**Relative energy among the computed polymorphs**: 0.713 eV per atom
**DOS at the Fermi energy**: 2.399 states/eV/f.u.

Structure (CIF):
```
data_Ta2CoO2
_symmetry_space_group_name_H-M 'P 4/m b m'
_symmetry_Int_Tables_number 127
_symmetry_space_group_name_Hall '-P 4 2ab'
_cell_length_a 6.5511
_cell_length_b 6.5511
_cell_length_c 2.6797
_cell_angle_alpha 90.00
_cell_angle_beta 90.00
_cell_angle_gamma 90.00
loop_
_atom_site_label
_atom_site_type_symbol
_atom_site_fract_x
_atom_site_fract_y
_atom_site_fract_z
Ta1 Ta 0.1812 0.3188 0.0000
Co1 Co 0.0000 0.0000 0.0000
O1 O 0.1229 0.6229 0.5000
```